No. 1
Computed, not measured: a relaxed structure of PmICl at the PBE level of DFT.

Computed properties:
Uncorrected formation energy = -146.4 kJ/mol of atoms
Mass density = 4.45 Mg/m³

abc: 7.8348 9.5017 11.4837
angles: 64.45 70.05 65.65
Site moments in Bohr magnetons follow the coordinates.
Positions (direct):
Cl1 0.9440 0.8846 0.2829  0.00
Cl2 0.7593 0.0600 0.0023  0.00
Cl3 0.1783 0.5600 0.5023  0.00
Cl4 0.9762 0.2119 0.4781  0.00
Cl5 0.3339 0.7119 0.9781  0.00
Cl6 0.8885 0.3846 0.7829  0.00
Pm1 0.5465 0.9337 0.2564  0.26
Pm2 0.3123 0.6601 0.2345  0.04
Pm3 0.1004 0.9016 0.4594  0.23
Pm4 0.2635 0.4337 0.7564  0.26
Pm5 0.7931 0.1601 0.7345  0.04
Pm6 0.5387 0.4016 0.9594  0.23
I1 0.7381 0.6139 0.1907  0.00
I2 0.2291 0.2106 0.0674  0.00
I3 0.4929 0.7106 0.5674  0.00
I4 0.4991 0.2736 0.2783  0.01
I5 0.9491 0.7736 0.7783  0.01
I6 0.4573 0.1139 0.6907  0.00


No. 2
Computed, not measured: a relaxed structure of Pm3I7Cl at the PBE level of DFT.

Computed properties:
Uncorrected formation energy = -139.5 kJ/mol of atoms
Mass density = 4.40 Mg/m³

abc: 7.6876 8.7766 8.7766
angles: 120.00 90.00 90.00
Site moments in Bohr magnetons follow the coordinates.
Positions (direct):
Pm1 0.7768 0.4976 0.5024  0.15
Pm2 0.7768 0.4976 0.9951  0.15
Pm3 0.7768 0.0049 0.5024  0.15
I1 0.0154 0.1672 0.8328  0.00
I2 0.0154 0.1672 0.3344  0.00
I3 0.0206 0.6667 0.3333  0.00
I4 0.5404 0.8316 0.1684  0.00
I5 0.5404 0.3369 0.1684  0.00
I6 0.5404 0.8316 0.6631  0.00
I7 0.0154 0.6656 0.8328  0.00
Cl1 0.5965 0.3333 0.6667  0.00


No. 3
Computed, not measured: a relaxed structure of PmI2Cl at the PBE level of DFT.

Computed properties:
Uncorrected formation energy = -159.5 kJ/mol of atoms
Mass density = 3.94 Mg/m³

abc: 3.9853 7.3827 7.3826
angles: 62.64 74.33 74.33
Positions (direct):
Pm1 0.7500 0.8958 0.6042
I1 0.0785 0.9018 0.9409
I2 0.4215 0.5591 0.5982
Cl1 0.2500 0.1432 0.3568


No. 4
Computed, not measured: a relaxed structure of PmICl at the PBE level of DFT.

Computed properties:
Uncorrected formation energy = -151.8 kJ/mol of atoms
Mass density = 5.13 Mg/m³

abc: 3.6880 3.6880 7.7644
angles: 103.74 103.74 90.00
Positions (direct):
I1 0.0432 0.0432 0.0863
Cl1 0.2806 0.2806 0.5612
Pm1 0.6762 0.6762 0.3524


No. 5
Computed, not measured: a relaxed structure of PmICl at the PBE level of DFT.

Computed properties:
Uncorrected formation energy = -156.1 kJ/mol of atoms
Mass density = 4.61 Mg/m³

abc: 4.0698 6.9168 9.4934
angles: 58.55 78.39 90.00
Positions (direct):
Pm1 0.7499 0.7541 0.5002
Pm2 0.2501 0.2459 0.4998
I1 0.6222 0.8933 0.7723
I2 0.3778 0.1067 0.2277
Cl1 0.1543 0.4375 0.7040
Cl2 0.8457 0.5625 0.2960


No. 6
Computed, not measured: a relaxed structure of Pm2I2Cl3 at the PBE level of DFT.

Computed properties:
Uncorrected formation energy = -171.8 kJ/mol of atoms
Mass density = 4.13 Mg/m³

abc: 3.8069 8.5691 8.4386
angles: 84.63 76.96 77.17
Positions (direct):
Pm1 0.1793 0.9069 0.7345
Pm2 0.8207 0.0931 0.2655
I1 0.1889 0.3809 0.2414
I2 0.8111 0.6191 0.7586
Cl1 0.5000 0.0000 0.0000
Cl2 0.3715 0.8600 0.3970
Cl3 0.6285 0.1400 0.6030


No. 7
Computed, not measured: a relaxed structure of PmICl6 at the PBE level of DFT.

Computed properties:
Uncorrected formation energy = -106.6 kJ/mol of atoms
Mass density = 2.87 Mg/m³

abc: 7.9572 8.1558 7.3303
angles: 59.28 61.15 44.32
Positions (direct):
Pm1 0.5000 0.5000 0.5000
I1 0.0000 0.0000 0.0000
Cl1 0.1208 0.5141 0.6641
Cl2 0.7121 0.0793 0.8502
Cl3 0.6271 0.1988 0.2952
Cl4 0.2879 0.9207 0.1498
Cl5 0.8792 0.4859 0.3359
Cl6 0.3729 0.8012 0.7048


No. 8
Computed, not measured: a relaxed structure of PmI2Cl8 at the PBE level of DFT.

Computed properties:
Uncorrected formation energy = -70.3 kJ/mol of atoms
Mass density = 2.99 Mg/m³

abc: 6.9619 8.4224 8.4224
angles: 50.26 94.29 94.29
Positions (direct):
Pm1 0.0000 0.0000 0.0000
I1 0.4525 0.2239 0.2239
I2 0.5475 0.7761 0.7761
Cl1 0.7742 0.1725 0.6557
Cl2 0.2258 0.3443 0.8275
Cl3 0.7693 0.1434 0.1434
Cl4 0.2307 0.8566 0.8566
Cl5 0.7742 0.6557 0.1725
Cl6 0.2258 0.8275 0.3443
Cl7 0.1909 0.3134 0.3134
Cl8 0.8091 0.6866 0.6866


Q: Among the records above, which one has the highest mass density?
A: number 4


Q: Which of these has the lowest mass density?
A: PmICl6


Q: The lowest mass density belongs to which entry?
A: PmICl6


Q: Which formula does entry 1 have?
A: PmICl